Record 1
The following is a DFT calculation (PBE-GGA) of crystalline NdAgPb at its relaxed geometry.

Summary:
E_form   -0.242 eV/atom
Space group   P-3m1

Geometry as CIF:
```
data_NdAgPb
_chemical_formula_sum 'Nd2 Ag2 Pb2'
_cell_length_a 4.969
_cell_length_b 4.969
_cell_length_c 7.838
_cell_angle_alpha 89.98
_cell_angle_beta 90.02
_cell_angle_gamma 119.97
_space_group_name_H-M_alt 'P 1'
_space_group_IT_number 1
loop_
_space_group_symop_operation_xyz
'x,y,z'
loop_
_atom_site_label
_atom_site_type_symbol
_atom_site_fract_x
_atom_site_fract_y
_atom_site_fract_z
Pb1 Pb 0.333 0.667 0.423
Pb2 Pb 0.667 0.333 0.577
Nd1 Nd 0.000 0.000 0.783
Nd2 Nd 0.000 0.000 0.217
Ag1 Ag 0.667 0.333 0.996
Ag2 Ag 0.333 0.667 0.004
```

Record 2
The following is a DFT calculation (PBE-GGA) of crystalline NdAgPb at its relaxed geometry.

Summary:
E_form   -0.392 eV/atom
Space group   Imm2

Geometry as CIF:
```
data_NdAgPb
_chemical_formula_sum 'Nd2 Ag2 Pb2'
_cell_length_a 4.946
_cell_length_b 6.210
_cell_length_c 6.210
_cell_angle_alpha 87.16
_cell_angle_beta 66.53
_cell_angle_gamma 66.53
_space_group_name_H-M_alt 'P 1'
_space_group_IT_number 1
loop_
_space_group_symop_operation_xyz
'x,y,z'
loop_
_atom_site_label
_atom_site_type_symbol
_atom_site_fract_x
_atom_site_fract_y
_atom_site_fract_z
Nd1 Nd 0.000 0.632 0.368
Nd2 Nd 0.500 0.157 0.843
Ag1 Ag 0.298 0.016 0.388
Ag2 Ag 0.702 0.612 0.984
Pb1 Pb 0.243 0.737 0.776
Pb2 Pb 0.757 0.224 0.263
```

Record 3
The following is a DFT calculation (PBE-GGA) of crystalline NdAgPb at its relaxed geometry.

Summary:
E_form   -0.386 eV/atom
Space group   P3m1

Geometry as CIF:
```
data_NdAgPb
_chemical_formula_sum 'Nd1 Ag1 Pb1'
_cell_length_a 3.684
_cell_length_b 4.979
_cell_length_c 4.979
_cell_angle_alpha 120.00
_cell_angle_beta 90.00
_cell_angle_gamma 90.00
_space_group_name_H-M_alt 'P 1'
_space_group_IT_number 1
loop_
_space_group_symop_operation_xyz
'x,y,z'
loop_
_atom_site_label
_atom_site_type_symbol
_atom_site_fract_x
_atom_site_fract_y
_atom_site_fract_z
Pb1 Pb 0.168 0.333 0.667
Nd1 Nd 0.667 0.667 0.333
Ag1 Ag 0.166 0.000 0.000
```

Record 4
The following is a DFT calculation (PBE-GGA) of crystalline Nd5Ag2Pb5 at its relaxed geometry.

Summary:
E_form   -0.465 eV/atom
Space group   C2/m

Geometry as CIF:
```
data_Nd5Ag2Pb5
_chemical_formula_sum 'Nd5 Ag2 Pb5'
_cell_length_a 4.812
_cell_length_b 8.764
_cell_length_c 9.081
_cell_angle_alpha 76.68
_cell_angle_beta 74.63
_cell_angle_gamma 74.06
_space_group_name_H-M_alt 'P 1'
_space_group_IT_number 1
loop_
_space_group_symop_operation_xyz
'x,y,z'
loop_
_atom_site_label
_atom_site_type_symbol
_atom_site_fract_x
_atom_site_fract_y
_atom_site_fract_z
Nd1 Nd 0.500 0.500 0.500
Nd2 Nd 0.391 0.299 0.919
Nd3 Nd 0.312 0.050 0.327
Nd4 Nd 0.688 0.950 0.673
Nd5 Nd 0.609 0.701 0.081
Ag1 Ag 0.858 0.540 0.744
Ag2 Ag 0.142 0.460 0.256
Pb1 Pb 0.934 0.769 0.362
Pb2 Pb 0.243 0.697 0.817
Pb3 Pb 0.757 0.303 0.183
Pb4 Pb 0.066 0.231 0.638
Pb5 Pb 0.000 0.000 0.000
```

Record 5
The following is a DFT calculation (PBE-GGA) of crystalline NdAgPb at its relaxed geometry.

Summary:
E_form   -0.233 eV/atom
Space group   I4mm

Geometry as CIF:
```
data_NdAgPb
_chemical_formula_sum 'Nd1 Ag1 Pb1'
_cell_length_a 3.666
_cell_length_b 3.666
_cell_length_c 6.508
_cell_angle_alpha 106.36
_cell_angle_beta 106.36
_cell_angle_gamma 90.00
_space_group_name_H-M_alt 'P 1'
_space_group_IT_number 1
loop_
_space_group_symop_operation_xyz
'x,y,z'
loop_
_atom_site_label
_atom_site_type_symbol
_atom_site_fract_x
_atom_site_fract_y
_atom_site_fract_z
Pb1 Pb 0.633 0.633 0.266
Nd1 Nd 0.938 0.938 0.876
Ag1 Ag 0.279 0.279 0.558
```

Record 6
The following is a DFT calculation (PBE-GGA) of crystalline Nd4Ag3Pb at its relaxed geometry.

Summary:
E_form   -0.322 eV/atom
Space group   I4/mmm

Geometry as CIF:
```
data_Nd4Ag3Pb
_chemical_formula_sum 'Nd4 Ag3 Pb1'
_cell_length_a 5.361
_cell_length_b 5.361
_cell_length_c 8.563
_cell_angle_alpha 108.23
_cell_angle_beta 108.24
_cell_angle_gamma 90.00
_space_group_name_H-M_alt 'P 1'
_space_group_IT_number 1
loop_
_space_group_symop_operation_xyz
'x,y,z'
loop_
_atom_site_label
_atom_site_type_symbol
_atom_site_fract_x
_atom_site_fract_y
_atom_site_fract_z
Pb1 Pb 0.500 0.000 0.000
Nd1 Nd 0.371 0.371 0.742
Nd2 Nd 0.629 0.629 0.258
Nd3 Nd 0.129 0.129 0.258
Nd4 Nd 0.871 0.871 0.742
Ag1 Ag 0.000 0.500 0.000
Ag2 Ag 0.752 0.252 0.505
Ag3 Ag 0.248 0.748 0.495
```

Record 7
The following is a DFT calculation (PBE-GGA) of crystalline Nd4AgPb at its relaxed geometry.

Summary:
E_form   -0.132 eV/atom
Space group   Cmcm

Geometry as CIF:
```
data_Nd4AgPb
_chemical_formula_sum 'Nd8 Ag2 Pb2'
_cell_length_a 5.705
_cell_length_b 6.625
_cell_length_c 11.042
_cell_angle_alpha 90.00
_cell_angle_beta 104.97
_cell_angle_gamma 90.00
_space_group_name_H-M_alt 'P 1'
_space_group_IT_number 1
loop_
_space_group_symop_operation_xyz
'x,y,z'
loop_
_atom_site_label
_atom_site_type_symbol
_atom_site_fract_x
_atom_site_fract_y
_atom_site_fract_z
Nd1 Nd 0.881 0.322 0.762
Nd2 Nd 0.119 0.822 0.238
Nd3 Nd 0.443 0.823 0.885
Nd4 Nd 0.557 0.323 0.115
Nd5 Nd 0.710 0.565 0.419
Nd6 Nd 0.290 0.065 0.581
Nd7 Nd 0.709 0.079 0.419
Nd8 Nd 0.291 0.579 0.581
Ag1 Ag 0.582 0.822 0.163
Ag2 Ag 0.418 0.322 0.837
Pb1 Pb 0.852 0.822 0.704
Pb2 Pb 0.148 0.322 0.296
```

Record 8
The following is a DFT calculation (PBE-GGA) of crystalline Nd8Ag2Pb at its relaxed geometry.

Summary:
E_form   -0.172 eV/atom
Space group   C2/m

Geometry as CIF:
```
data_Nd8Ag2Pb
_chemical_formula_sum 'Nd8 Ag2 Pb1'
_cell_length_a 5.169
_cell_length_b 8.280
_cell_length_c 9.192
_cell_angle_alpha 114.24
_cell_angle_beta 106.33
_cell_angle_gamma 90.00
_space_group_name_H-M_alt 'P 1'
_space_group_IT_number 1
loop_
_space_group_symop_operation_xyz
'x,y,z'
loop_
_atom_site_label
_atom_site_type_symbol
_atom_site_fract_x
_atom_site_fract_y
_atom_site_fract_z
Nd1 Nd 0.405 0.537 0.811
Nd2 Nd 0.682 0.964 0.364
Nd3 Nd 0.827 0.740 0.654
Nd4 Nd 0.954 0.246 0.909
Nd5 Nd 0.173 0.260 0.346
Nd6 Nd 0.318 0.036 0.636
Nd7 Nd 0.595 0.463 0.189
Nd8 Nd 0.046 0.754 0.091
Ag1 Ag 0.804 0.350 0.608
Ag2 Ag 0.196 0.650 0.392
Pb1 Pb 0.500 0.000 0.000
```

Record 9
The following is a DFT calculation (PBE-GGA) of crystalline Nd3AgPb3 at its relaxed geometry.

Summary:
E_form   -0.483 eV/atom
Space group   C2/m

Geometry as CIF:
```
data_Nd3AgPb3
_chemical_formula_sum 'Nd6 Ag2 Pb6'
_cell_length_a 4.745
_cell_length_b 6.412
_cell_length_c 14.905
_cell_angle_alpha 83.24
_cell_angle_beta 80.84
_cell_angle_gamma 68.28
_space_group_name_H-M_alt 'P 1'
_space_group_IT_number 1
loop_
_space_group_symop_operation_xyz
'x,y,z'
loop_
_atom_site_label
_atom_site_type_symbol
_atom_site_fract_x
_atom_site_fract_y
_atom_site_fract_z
Nd1 Nd 0.531 0.320 0.617
Nd2 Nd 0.469 0.680 0.383
Nd3 Nd 0.268 0.237 0.228
Nd4 Nd 0.732 0.763 0.772
Nd5 Nd 0.403 0.271 0.922
Nd6 Nd 0.597 0.729 0.078
Ag1 Ag 0.770 0.074 0.385
Ag2 Ag 0.230 0.926 0.615
Pb1 Pb 0.860 0.733 0.548
Pb2 Pb 0.140 0.267 0.452
Pb3 Pb 0.132 0.811 0.924
Pb4 Pb 0.868 0.189 0.076
Pb5 Pb 0.989 0.791 0.231
Pb6 Pb 0.011 0.209 0.769
```

Record 10
The following is a DFT calculation (PBE-GGA) of crystalline NdAgPb at its relaxed geometry.

Summary:
E_form   -0.456 eV/atom
Space group   P6_3mc

Geometry as CIF:
```
data_NdAgPb
_chemical_formula_sum 'Nd2 Ag2 Pb2'
_cell_length_a 4.899
_cell_length_b 4.899
_cell_length_c 7.706
_cell_angle_alpha 90.00
_cell_angle_beta 90.00
_cell_angle_gamma 120.00
_space_group_name_H-M_alt 'P 1'
_space_group_IT_number 1
loop_
_space_group_symop_operation_xyz
'x,y,z'
loop_
_atom_site_label
_atom_site_type_symbol
_atom_site_fract_x
_atom_site_fract_y
_atom_site_fract_z
Pb1 Pb 0.333 0.667 0.232
Pb2 Pb 0.667 0.333 0.732
Nd1 Nd 0.000 0.000 0.012
Nd2 Nd 0.000 0.000 0.512
Ag1 Ag 0.667 0.333 0.320
Ag2 Ag 0.333 0.667 0.820
```

Record 11
The following is a DFT calculation (PBE-GGA) of crystalline Nd3Ag4Pb2 at its relaxed geometry.

Summary:
E_form   -0.351 eV/atom
Space group   C2/m

Geometry as CIF:
```
data_Nd3Ag4Pb2
_chemical_formula_sum 'Nd3 Ag4 Pb2'
_cell_length_a 4.842
_cell_length_b 6.171
_cell_length_c 9.406
_cell_angle_alpha 113.64
_cell_angle_beta 90.00
_cell_angle_gamma 113.10
_space_group_name_H-M_alt 'P 1'
_space_group_IT_number 1
loop_
_space_group_symop_operation_xyz
'x,y,z'
loop_
_atom_site_label
_atom_site_type_symbol
_atom_site_fract_x
_atom_site_fract_y
_atom_site_fract_z
Nd1 Nd 0.657 0.314 0.678
Nd2 Nd 0.000 0.000 0.000
Nd3 Nd 0.343 0.686 0.322
Ag1 Ag 0.712 0.424 0.039
Ag2 Ag 0.288 0.576 0.961
Ag3 Ag 0.918 0.836 0.576
Ag4 Ag 0.082 0.164 0.424
Pb1 Pb 0.620 0.239 0.281
Pb2 Pb 0.380 0.761 0.719
```

Record 12
The following is a DFT calculation (PBE-GGA) of crystalline Nd4Ag2Pb at its relaxed geometry.

Summary:
E_form   -0.207 eV/atom
Space group   R-3m

Geometry as CIF:
```
data_Nd4Ag2Pb
_chemical_formula_sum 'Nd4 Ag2 Pb1'
_cell_length_a 5.340
_cell_length_b 5.340
_cell_length_c 9.009
_cell_angle_alpha 72.76
_cell_angle_beta 72.76
_cell_angle_gamma 60.00
_space_group_name_H-M_alt 'P 1'
_space_group_IT_number 1
loop_
_space_group_symop_operation_xyz
'x,y,z'
loop_
_atom_site_label
_atom_site_type_symbol
_atom_site_fract_x
_atom_site_fract_y
_atom_site_fract_z
Pb1 Pb 0.000 0.000 0.000
Nd1 Nd 0.868 0.868 0.396
Nd2 Nd 0.132 0.132 0.604
Nd3 Nd 0.614 0.614 0.159
Nd4 Nd 0.386 0.386 0.841
Ag1 Ag 0.743 0.743 0.770
Ag2 Ag 0.257 0.257 0.230
```

Record 13
The following is a DFT calculation (PBE-GGA) of crystalline NdAgPdPb at its relaxed geometry.

Summary:
E_form   -0.465 eV/atom
Space group   F-43m

Geometry as CIF:
```
data_NdAgPdPb
_chemical_formula_sum 'Nd1 Ag1 Pd1 Pb1'
_cell_length_a 5.041
_cell_length_b 5.041
_cell_length_c 5.041
_cell_angle_alpha 60.00
_cell_angle_beta 60.00
_cell_angle_gamma 60.00
_space_group_name_H-M_alt 'P 1'
_space_group_IT_number 1
loop_
_space_group_symop_operation_xyz
'x,y,z'
loop_
_atom_site_label
_atom_site_type_symbol
_atom_site_fract_x
_atom_site_fract_y
_atom_site_fract_z
Pb1 Pb 0.250 0.250 0.250
Nd1 Nd 0.750 0.750 0.750
Pd1 Pd 0.000 0.000 0.000
Ag1 Ag 0.500 0.500 0.500
```

Record 14
The following is a DFT calculation (PBE-GGA) of crystalline PmNd2Ag2Pb2 at its relaxed geometry.

Summary:
E_form   -0.289 eV/atom
Space group   R-3m

Geometry as CIF:
```
data_PmNd2Ag2Pb2
_chemical_formula_sum 'Pm1 Nd2 Ag2 Pb2'
_cell_length_a 4.987
_cell_length_b 4.987
_cell_length_c 9.405
_cell_angle_alpha 74.62
_cell_angle_beta 74.62
_cell_angle_gamma 60.00
_space_group_name_H-M_alt 'P 1'
_space_group_IT_number 1
loop_
_space_group_symop_operation_xyz
'x,y,z'
loop_
_atom_site_label
_atom_site_type_symbol
_atom_site_fract_x
_atom_site_fract_y
_atom_site_fract_z
Pm1 Pm 0.000 0.000 0.000
Nd1 Nd 0.136 0.136 0.592
Nd2 Nd 0.864 0.864 0.408
Ag1 Ag 0.563 0.563 0.310
Ag2 Ag 0.437 0.437 0.690
Pb1 Pb 0.731 0.731 0.806
Pb2 Pb 0.269 0.269 0.194
```

Record 15
The following is a DFT calculation (PBE-GGA) of crystalline PmNdAgPb at its relaxed geometry.

Summary:
E_form   -0.424 eV/atom
Space group   F-43m

Geometry as CIF:
```
data_PmNdAgPb
_chemical_formula_sum 'Pm1 Nd1 Ag1 Pb1'
_cell_length_a 5.431
_cell_length_b 5.431
_cell_length_c 5.431
_cell_angle_alpha 60.00
_cell_angle_beta 60.00
_cell_angle_gamma 60.00
_space_group_name_H-M_alt 'P 1'
_space_group_IT_number 1
loop_
_space_group_symop_operation_xyz
'x,y,z'
loop_
_atom_site_label
_atom_site_type_symbol
_atom_site_fract_x
_atom_site_fract_y
_atom_site_fract_z
Pb1 Pb 0.750 0.750 0.750
Nd1 Nd 0.500 0.500 0.500
Ag1 Ag 0.250 0.250 0.250
Pm1 Pm 0.000 0.000 0.000
```

Record 16
The following is a DFT calculation (PBE-GGA) of crystalline NdPuAgPb at its relaxed geometry.

Summary:
E_form   -0.204 eV/atom
Space group   F-43m

Geometry as CIF:
```
data_NdPuAgPb
_chemical_formula_sum 'Nd1 Pu1 Ag1 Pb1'
_cell_length_a 5.406
_cell_length_b 5.406
_cell_length_c 5.406
_cell_angle_alpha 60.00
_cell_angle_beta 60.00
_cell_angle_gamma 60.00
_space_group_name_H-M_alt 'P 1'
_space_group_IT_number 1
loop_
_space_group_symop_operation_xyz
'x,y,z'
loop_
_atom_site_label
_atom_site_type_symbol
_atom_site_fract_x
_atom_site_fract_y
_atom_site_fract_z
Pb1 Pb 0.750 0.750 0.750
Nd1 Nd 0.500 0.500 0.500
Ag1 Ag 0.250 0.250 0.250
Pu1 Pu 0.000 0.000 0.000
```

Record 17
The following is a DFT calculation (PBE-GGA) of crystalline NdScAgPb at its relaxed geometry.

Summary:
E_form   -0.350 eV/atom
Space group   F-43m

Geometry as CIF:
```
data_NdScAgPb
_chemical_formula_sum 'Nd1 Sc1 Ag1 Pb1'
_cell_length_a 5.246
_cell_length_b 5.246
_cell_length_c 5.246
_cell_angle_alpha 60.00
_cell_angle_beta 60.00
_cell_angle_gamma 60.00
_space_group_name_H-M_alt 'P 1'
_space_group_IT_number 1
loop_
_space_group_symop_operation_xyz
'x,y,z'
loop_
_atom_site_label
_atom_site_type_symbol
_atom_site_fract_x
_atom_site_fract_y
_atom_site_fract_z
Pb1 Pb 0.500 0.500 0.500
Sc1 Sc 0.250 0.250 0.250
Nd1 Nd 0.750 0.750 0.750
Ag1 Ag 0.000 0.000 0.000
```

Record 18
The following is a DFT calculation (PBE-GGA) of crystalline NdAgPb2Se4 at its relaxed geometry.

Summary:
Uncorrected formation energy   -6.694 eV/f.u.
Space group   P2/m

Geometry as CIF:
```
data_NdAgPb2Se4
_chemical_formula_sum 'Nd1 Ag1 Pb2 Se4'
_cell_length_a 4.292
_cell_length_b 7.571
_cell_length_c 7.297
_cell_angle_alpha 70.32
_cell_angle_beta 90.00
_cell_angle_gamma 90.00
_space_group_name_H-M_alt 'P 1'
_space_group_IT_number 1
loop_
_space_group_symop_operation_xyz
'x,y,z'
loop_
_atom_site_label
_atom_site_type_symbol
_atom_site_fract_x
_atom_site_fract_y
_atom_site_fract_z
Nd1 Nd 0.000 0.500 0.500
Ag1 Ag 0.500 0.500 0.000
Pb1 Pb 0.000 0.000 0.000
Pb2 Pb 0.500 0.000 0.500
Se1 Se 0.000 0.731 0.759
Se2 Se 0.000 0.269 0.241
Se3 Se 0.500 0.738 0.256
Se4 Se 0.500 0.262 0.744
```

Record 19
The following is a DFT calculation (PBE-GGA) of crystalline NdSm2Ag2Pb2 at its relaxed geometry.

Summary:
E_form   -0.305 eV/atom
Space group   R-3m

Geometry as CIF:
```
data_NdSm2Ag2Pb2
_chemical_formula_sum 'Nd1 Sm2 Ag2 Pb2'
_cell_length_a 4.986
_cell_length_b 4.986
_cell_length_c 9.349
_cell_angle_alpha 74.53
_cell_angle_beta 74.53
_cell_angle_gamma 60.00
_space_group_name_H-M_alt 'P 1'
_space_group_IT_number 1
loop_
_space_group_symop_operation_xyz
'x,y,z'
loop_
_atom_site_label
_atom_site_type_symbol
_atom_site_fract_x
_atom_site_fract_y
_atom_site_fract_z
Nd1 Nd 0.000 0.000 0.000
Sm1 Sm 0.135 0.135 0.594
Sm2 Sm 0.865 0.865 0.406
Ag1 Ag 0.560 0.560 0.320
Ag2 Ag 0.440 0.440 0.680
Pb1 Pb 0.733 0.733 0.801
Pb2 Pb 0.267 0.267 0.199
```

Record 20
The following is a DFT calculation (PBE-GGA) of crystalline TbNdAgPb at its relaxed geometry.

Summary:
E_form   -0.409 eV/atom
Space group   F-43m

Geometry as CIF:
```
data_TbNdAgPb
_chemical_formula_sum 'Tb1 Nd1 Ag1 Pb1'
_cell_length_a 5.377
_cell_length_b 5.377
_cell_length_c 5.377
_cell_angle_alpha 60.00
_cell_angle_beta 60.00
_cell_angle_gamma 60.00
_space_group_name_H-M_alt 'P 1'
_space_group_IT_number 1
loop_
_space_group_symop_operation_xyz
'x,y,z'
loop_
_atom_site_label
_atom_site_type_symbol
_atom_site_fract_x
_atom_site_fract_y
_atom_site_fract_z
Pb1 Pb 0.750 0.750 0.750
Nd1 Nd 0.500 0.500 0.500
Tb1 Tb 0.000 0.000 0.000
Ag1 Ag 0.250 0.250 0.250
```

no.,calculated volume (Å³ per cell)
1,168
2,159
3,79
4,350
5,80
6,221
7,403
8,341
9,415
10,160
11,233
12,209
13,91
14,193
15,113
16,112
17,102
18,223
19,192
20,110